(1)
An optimized crystal structure of Mg7Zn, computed with PBE.

Cell and atoms, written as CIF:
```
data_Mg7Zn
_cell_length_a 6.2042
_cell_length_b 6.2042
_cell_length_c 5.1975
_cell_angle_alpha 90.00
_cell_angle_beta 90.00
_cell_angle_gamma 120.00
_space_group_name_H-M_alt 'P -6 m 2'
_space_group_IT_number 187
_space_group_name_Hall 'P -6 2'
loop_
_atom_site_label
_atom_site_type_symbol
_atom_site_fract_x
_atom_site_fract_y
_atom_site_fract_z
_atom_site_occupancy
Mg1 Mg 0.0000 0.0000 0.0000 1
Mg2 Mg 0.0045 0.5023 0.0000 1
Mg3 Mg 0.3321 0.1660 0.5000 1
Zn1 Zn 0.3333 0.6667 0.5000 1
```

DFT total energy: -1.559 eV per atom
energy relative to the lowest polymorph listed for this composition: 0.0000 eV/atom
size of the total moment: 0.0 μB/f.u.
volume: 21.66 A^3/atom
formation enthalpy at 0 K: -0.005 eV/atom



(2)
An optimized crystal structure of Mg6In3Pd, computed with PBE.

Cell and atoms, written as CIF:
```
data_Mg6In3Pd
_cell_length_a 9.3110
_cell_length_b 4.6430
_cell_length_c 10.0631
_cell_angle_alpha 90.00
_cell_angle_beta 95.71
_cell_angle_gamma 90.00
_space_group_name_H-M_alt 'P 1 21/m 1'
_space_group_IT_number 11
loop_
_space_group_symop_operation_xyz
'x,y,z'
'-x,-y,-z'
'-x,y+1/2,-z'
'x,-y+1/2,z'
loop_
_atom_site_label
_atom_site_type_symbol
_atom_site_fract_x
_atom_site_fract_y
_atom_site_fract_z
_atom_site_occupancy
Mg1 Mg 0.0547 0.2500 0.3829 1
Mg2 Mg 0.1234 0.7500 0.1618 1
Mg3 Mg 0.1408 0.2500 0.6919 1
Mg4 Mg 0.1984 0.2500 0.9865 1
Mg5 Mg 0.3281 0.7500 0.8032 1
Mg6 Mg 0.4450 0.2500 0.5933 1
In1 In 0.2395 0.7500 0.4918 1
In2 In 0.3531 0.2500 0.2824 1
In3 In 0.4617 0.7500 0.0995 1
Pd1 Pd 0.0543 0.7500 0.8772 1
```

DFT total energy: -2.501 eV per atom
size of the total moment: 0.0 μB/f.u.
volume: 21.64 A^3/atom
formation enthalpy at 0 K: -0.203 eV/atom



(3)
An optimized crystal structure of Sm2MnHg, computed with PBE.

Cell and atoms, written as CIF:
```
data_Sm2MnHg
_cell_length_a 3.6288
_cell_length_b 3.6288
_cell_length_c 7.7349
_cell_angle_alpha 90.00
_cell_angle_beta 90.00
_cell_angle_gamma 90.00
_space_group_name_H-M_alt 'P 4/m m m'
_space_group_IT_number 123
_space_group_name_Hall '-P 4 2'
loop_
_atom_site_label
_atom_site_type_symbol
_atom_site_fract_x
_atom_site_fract_y
_atom_site_fract_z
_atom_site_occupancy
Sm1 Sm 0.0000 0.0000 0.2327 1
Mn1 Mn 0.5000 0.5000 0.0000 1
Hg1 Hg 0.5000 0.5000 0.5000 1
```

DFT total energy: -4.837 eV per atom
energy relative to the lowest polymorph listed for this composition: 0.0000 eV/atom
size of the total moment: 3.0 μB/f.u.
volume: 25.46 A^3/atom
formation enthalpy at 0 K: -0.110 eV/atom



(4)
An optimized crystal structure of KTlAu2, computed with PBE.

Cell and atoms, written as CIF:
```
data_KTlAu2
_cell_length_a 7.3955
_cell_length_b 7.3955
_cell_length_c 7.3955
_cell_angle_alpha 90.00
_cell_angle_beta 90.00
_cell_angle_gamma 90.00
_space_group_name_H-M_alt 'F -4 3 m'
_space_group_IT_number 216
_space_group_name_Hall 'F -4 2 3'
loop_
_atom_site_label
_atom_site_type_symbol
_atom_site_fract_x
_atom_site_fract_y
_atom_site_fract_z
_atom_site_occupancy
K1 K 0.0000 0.0000 0.0000 1
Tl1 Tl 0.2500 0.2500 0.7500 1
Au1 Au 0.0000 0.0000 0.5000 1
Au2 Au 0.2500 0.2500 0.2500 1
```

DFT total energy: -2.541 eV per atom
energy relative to the lowest polymorph listed for this composition: 0.1639 eV/atom
size of the total moment: 0.0 μB/f.u.
volume: 25.28 A^3/atom
formation enthalpy at 0 K: -0.036 eV/atom



(5)
An optimized crystal structure of SrYSi2, computed with PBE.

Cell and atoms, written as CIF:
```
data_SrYSi2
_cell_length_a 7.2543
_cell_length_b 7.2543
_cell_length_c 7.2543
_cell_angle_alpha 90.00
_cell_angle_beta 90.00
_cell_angle_gamma 90.00
_space_group_name_H-M_alt 'F -4 3 m'
_space_group_IT_number 216
_space_group_name_Hall 'F -4 2 3'
loop_
_atom_site_label
_atom_site_type_symbol
_atom_site_fract_x
_atom_site_fract_y
_atom_site_fract_z
_atom_site_occupancy
Sr1 Sr 0.0000 0.0000 0.0000 1
Y1 Y 0.2500 0.2500 0.2500 1
Si1 Si 0.0000 0.0000 0.5000 1
Si2 Si 0.2500 0.2500 0.7500 1
```

DFT total energy: -4.434 eV per atom
energy relative to the lowest polymorph listed for this composition: 0.7497 eV/atom
size of the total moment: 0.0 μB/f.u.
uncorrected formation energy: 0.314 eV/atom
volume: 23.86 A^3/atom



(6)
An optimized crystal structure of NiAg3Bi, computed with PBE.

Cell and atoms, written as CIF:
```
data_NiAg3Bi
_cell_length_a 5.3577
_cell_length_b 5.3577
_cell_length_c 5.3577
_cell_angle_alpha 90.00
_cell_angle_beta 90.00
_cell_angle_gamma 90.00
_space_group_name_H-M_alt 'P m -3 m'
_space_group_IT_number 221
_space_group_name_Hall '-P 4 2 3'
loop_
_atom_site_label
_atom_site_type_symbol
_atom_site_fract_x
_atom_site_fract_y
_atom_site_fract_z
_atom_site_occupancy
Ni1 Ni 0.0000 0.0000 0.0000 1
Ag1 Ag 0.0000 0.5000 0.5000 1
Bi1 Bi 0.5000 0.5000 0.5000 1
```

DFT total energy: -2.489 eV per atom
energy relative to the lowest polymorph listed for this composition: 0.5696 eV/atom
size of the total moment: 1.0 μB/f.u.
volume: 30.76 A^3/atom
formation enthalpy at 0 K: 1.154 eV/atom



Among the records above, which one has the lowest volume? Mg6In3Pd



What did the sixth record say?
An optimized crystal structure of NiAg3Bi, computed with PBE.

Cell and atoms, written as CIF:
```
data_NiAg3Bi
_cell_length_a 5.3577
_cell_length_b 5.3577
_cell_length_c 5.3577
_cell_angle_alpha 90.00
_cell_angle_beta 90.00
_cell_angle_gamma 90.00
_space_group_name_H-M_alt 'P m -3 m'
_space_group_IT_number 221
_space_group_name_Hall '-P 4 2 3'
loop_
_atom_site_label
_atom_site_type_symbol
_atom_site_fract_x
_atom_site_fract_y
_atom_site_fract_z
_atom_site_occupancy
Ni1 Ni 0.0000 0.0000 0.0000 1
Ag1 Ag 0.0000 0.5000 0.5000 1
Bi1 Bi 0.5000 0.5000 0.5000 1
```

DFT total energy: -2.489 eV per atom
energy relative to the lowest polymorph listed for this composition: 0.5696 eV/atom
size of the total moment: 1.0 μB/f.u.
volume: 30.76 A^3/atom
formation enthalpy at 0 K: 1.154 eV/atom